Entry i
## NiRuCl2 (PBE-GGA)

Data for NiRuCl2 after structural relaxation.

Lattice parameters (Å, degrees): 3.183 3.183 7.613 90.00 90.00 124.68
Site moments in Bohr magnetons follow the coordinates.
Atoms (fractional coordinates):
Ru (0.500, 0.500, 0.750)  -0.45
Cl (0.000, 0.000, 0.010)  0.00
Cl (0.000, 0.000, 0.490)  0.00
Ni (0.500, 0.500, 0.250)  0.45

Computed properties:
* total moment: 0.012 μB/atom
* symmetry: Cmmm
* N(E_F): 5.211 states/eV per cell

Entry ii
## NiRuCl2 (PBE-GGA)

Data for NiRuCl2 after structural relaxation.

Lattice parameters (Å, degrees): 7.417 7.417 7.417 24.54 24.54 24.54
Site moments in Bohr magnetons follow the coordinates.
Atoms (fractional coordinates):
Ru (0.750, 0.750, 0.750)  1.86
Cl (0.991, 0.991, 0.991)  0.02
Cl (0.509, 0.509, 0.509)  0.02
Ni (0.250, 0.250, 0.250)  -0.59

Computed properties:
* total moment: 0.354 μB/atom
* symmetry: R-3m
* N(E_F): 4.207 states/eV per cell

Entry iii
## NiRuCl2 (PBE-GGA)

Data for NiRuCl2 after structural relaxation.

Lattice parameters (Å, degrees): 7.008 7.008 4.007 90.66 90.66 24.45
Site moments in Bohr magnetons follow the coordinates.
Atoms (fractional coordinates):
Ru (0.219, 0.219, 0.247)  0.48
Cl (0.961, 0.961, 0.256)  0.01
Cl (0.744, 0.744, 0.749)  0.03
Ni (0.576, 0.576, 0.248)  0.33

Computed properties:
* total moment: 0.220 μB/atom
* symmetry: Cm
* N(E_F): 4.474 states/eV per cell

Entry iv
## NiRuCl2 (PBE-GGA)

Data for NiRuCl2 after structural relaxation.

Lattice parameters (Å, degrees): 3.277 3.277 7.896 90.00 90.00 109.36
Site moments in Bohr magnetons follow the coordinates.
Atoms (fractional coordinates):
Ru (0.500, 0.500, 0.700)  1.86
Cl (0.000, 0.000, 0.913)  0.06
Cl (0.500, 0.500, 0.361)  0.03
Ni (0.000, 0.000, 0.526)  0.62

Computed properties:
* total moment: 0.664 μB/atom
* symmetry: Cmm2
* N(E_F): 3.478 states/eV per cell

The energy of each structure relative to the most stable one, in meV/atom, is as follows: entry i 264; entry ii 242; entry iii 98; entry iv 0.

Entry i
## NiRuCl2 (PBE-GGA)

Data for NiRuCl2 after structural relaxation.

Lattice parameters (Å, degrees): 3.190 3.190 7.549 90.00 90.00 90.00
Site moments in Bohr magnetons follow the coordinates.
Atoms (fractional coordinates):
Ru (0.500, 0.500, 0.694)  2.25
Cl (0.000, 0.000, 0.913)  0.10
Cl (0.500, 0.500, 0.364)  0.12
Ni (0.000, 0.000, 0.528)  1.03

Computed properties:
* total moment: 0.908 μB/atom
* symmetry: P4mm
* N(E_F): 2.906 states/eV per cell

Entry ii
## NiRuCl2 (PBE-GGA)

Data for NiRuCl2 after structural relaxation.

Lattice parameters (Å, degrees): 7.904 7.904 7.904 157.38 156.21 33.06
Site moments in Bohr magnetons follow the coordinates.
Atoms (fractional coordinates):
Ru (0.307, 0.807, 0.500)  0.59
Cl (0.005, 0.005, 0.000)  0.13
Cl (0.745, 0.245, 0.500)  0.00
Ni (0.443, 0.443, 0.000)  0.88

Computed properties:
* total moment: 0.405 μB/atom
* symmetry: Imm2
* N(E_F): 4.196 states/eV per cell

Entry iii
## NiRuCl2 (PBE-GGA)

Data for NiRuCl2 after structural relaxation.

Lattice parameters (Å, degrees): 4.564 4.564 4.564 60.00 60.00 60.00
Site moments in Bohr magnetons follow the coordinates.
Atoms (fractional coordinates):
Ru (0.250, 0.250, 0.250)  2.60
Cl (0.000, 0.000, 0.000)  0.14
Cl (0.750, 0.750, 0.750)  0.20
Ni (0.500, 0.500, 0.500)  1.07

Computed properties:
* total moment: 1.031 μB/atom
* symmetry: F-43m
* N(E_F): 2.019 states/eV per cell

The energy of each structure relative to the most stable one, in meV/atom, is as follows: entry i 0; entry ii 116; entry iii 657.